No. 1
First-principles (PBE) data for PmTaSnO6 after structural relaxation, as listed in Alexandria.

Results
- volume (Å³ per atom) = 14.09
- spin magnetization (μB per cell) = 0.00
- formation energy without anion corrections (eV/atom) = -2.628
- ρ (Mg/m³) = 7.080
- crystal system = trigonal

a b c (Å): 5.3889 5.3889 10.0843
angles (deg): 90.00 90.00 120.00
With the nearest neighbours (Å) after each atom.
Space group P-31c (No. 163)
Asymmetric unit:
Pm 0.0000 0.0000 0.0000  6 O 2.41
Ta 0.3333 0.6667 0.2500  6 O 2.01
Sn 0.3333 0.6667 0.7500  6 O 2.09
O 0.0112 0.3679 0.1395  1 Ta 2.01, 1 Sn 2.09

---

No. 2
First-principles (PBE) data for Tm3Hg7 after structural relaxation, as listed in Alexandria.

Results
- volume (Å³ per atom) = 23.95
- spin magnetization (μB per cell) = 0.00
- ΔH_f (0 K) (meV/atom) = -325
- ρ (Mg/m³) = 13.251
- crystal system = monoclinic

a b c (Å): 16.3468 4.8350 6.3720
angles (deg): 90.00 108.01 90.00
With the nearest neighbours (Å) after each atom.
Space group C2/m (No. 12)
Asymmetric unit:
Tm 0.0000 0.0000 0.0000  12 Hg 3.08-3.34
Tm 0.1992 0.0000 0.6425  10 Hg 3.03-3.37
Hg 0.0000 0.0000 0.5000  4 Tm 3.10-3.19, 8 Hg 3.27-3.34
Hg 0.1013 0.5000 0.8459  8 Hg 3.16-3.34, 4 Tm 3.25-3.37
Hg 0.1025 0.5000 0.3422  7 Hg 3.16-3.35, 5 Tm 3.18-3.34
Hg 0.1978 0.0000 0.1378  5 Tm 3.03-3.21, 5 Hg 3.16-3.35

---

No. 3
First-principles (PBE) data for YGaSnPd after structural relaxation, as listed in Alexandria.

Results
- volume (Å³ per atom) = 20.83
- spin magnetization (μB per cell) = 0.00
- ΔH_f (0 K) (meV/atom) = -616
- ρ (Mg/m³) = 7.647
- crystal system = cubic

a b c (Å): 6.9335 6.9335 6.9335
angles (deg): 90.00 90.00 90.00
With the nearest neighbours (Å) after each atom.
Space group F-43m (No. 216)
Asymmetric unit:
Y 0.0000 0.0000 0.0000  4 Pd 3.00, 4 Ga 3.00
Ga 0.2500 0.2500 0.7500  4 Sn 3.00, 4 Y 3.00
Sn 0.0000 0.0000 0.5000  4 Pd 3.00, 4 Ga 3.00
Pd 0.2500 0.2500 0.2500  4 Sn 3.00, 4 Y 3.00

---

No. 4
First-principles (PBE) data for CdNiW2 after structural relaxation, as listed in Alexandria.

Results
- volume (Å³ per atom) = 15.85
- spin magnetization (μB per cell) = 0.00
- ΔH_f (0 K) (meV/atom) = 479
- ρ (Mg/m³) = 14.116
- crystal system = monoclinic

a b c (Å): 9.2576 2.6989 5.1281
angles (deg): 90.00 98.39 90.00
With the nearest neighbours (Å) after each atom.
Space group Cm (No. 8)
Asymmetric unit:
Cd 0.0000 0.0000 0.0000  2 Cd 2.70, 3 Ni 2.72-2.79, 7 W 2.83-2.97
Ni 0.2515 0.5000 0.2249  6 W 2.67-2.94, 2 Ni 2.70, 3 Cd 2.72-2.79
W 0.2387 0.0000 0.7132  5 W 2.65-2.87, 3 Cd 2.83-2.97, 4 Ni 2.86-2.94
W 0.4775 0.0000 0.4837  5 W 2.65-2.87, 2 Ni 2.67, 4 Cd 2.86-2.95

---

No. 5
First-principles (PBE) data for Sb2HN after structural relaxation, as listed in Alexandria.

Results
- volume (Å³ per atom) = 15.17
- spin magnetization (μB per cell) = 0.00
- final energy (eV for the cell shown) = -61.6
- ρ (Mg/m³) = 7.074
- crystal system = cubic

a b c (Å): 6.2382 6.2382 6.2382
angles (deg): 90.00 90.00 90.00
With the nearest neighbours (Å) after each atom.
Space group Fm-3m (No. 225)
Asymmetric unit:
Sb 0.2500 0.2500 0.2500  4 N 2.70, 4 H 2.70
H 0.0000 0.0000 0.0000  8 Sb 2.70
N 0.0000 0.0000 0.5000  8 Sb 2.70

---

No. 6
First-principles (PBE) data for Sr2PmGe3Pt4 after structural relaxation, as listed in Alexandria.

Results
- volume (Å³ per atom) = 21.99
- spin magnetization (μB per cell) = 0.00
- ΔH_f (0 K) (meV/atom) = -849
- ρ (Mg/m³) = 9.954
- crystal system = tetragonal

a b c (Å): 4.4553 4.4553 11.0806
angles (deg): 90.00 90.00 90.00
With the nearest neighbours (Å) after each atom.
Space group P-4m2 (No. 115)
Asymmetric unit:
Sr 0.0000 0.5000 0.2278  8 Pt 3.37-3.38, 6 Ge 3.39-3.75, 2 Pm 3.75
Pm 0.0000 0.0000 0.5000  4 Pt 2.86, 4 Ge 3.15
Ge 0.0000 0.5000 0.8855  5 Pt 2.48-2.56
Ge 0.5000 0.5000 0.5000  4 Pt 2.86, 4 Pm 3.15
Pt 0.0000 0.0000 0.0000  4 Ge 2.56
Pt 0.0000 0.5000 0.6618  1 Ge 2.48
Pt 0.5000 0.5000 0.0000  4 Ge 2.56

---

No. 7
First-principles (PBE) data for Nd2ScCuTe5 after structural relaxation, as listed in Alexandria.

Results
- volume (Å³ per atom) = 28.67
- spin magnetization (μB per cell) = 0.00
- formation energy without anion corrections (eV/atom) = -1.169
- ρ (Mg/m³) = 6.661
- crystal system = orthorhombic

a b c (Å): 4.2648 18.8599 12.8302
angles (deg): 90.00 90.00 90.00
With the nearest neighbours (Å) after each atom.
Space group Cmc2_1 (No. 36)
Asymmetric unit:
Nd 0.0000 0.1104 0.0000  8 Te 3.24-3.34
Nd 0.0000 0.1262 0.6180  8 Te 3.20-3.48
Sc 0.0000 0.1882 0.3225  6 Te 2.80-3.04, 2 Cu 3.09
Cu 0.0000 0.4251 0.7696  4 Te 2.59-2.63
Te 0.0000 0.0443 0.3752  2 Cu 2.59, 1 Sc 2.80
Te 0.0000 0.2856 0.9765  2 Sc 2.95, 2 Nd 3.26
Te 0.0000 0.3072 0.6597  1 Cu 2.63
Te 0.0000 0.3491 0.3122  1 Sc 3.04, 4 Nd 3.31
Te 0.0000 0.5000 0.0990  1 Cu 2.61

---

No. 8
First-principles (PBE) data for MnFeHg2 after structural relaxation, as listed in Alexandria.

Results
- volume (Å³ per atom) = 17.35
- spin magnetization (μB per cell) = 6.37
- ΔH_f (0 K) (meV/atom) = 419
- ρ (Mg/m³) = 12.247
- crystal system = monoclinic

a b c (Å): 3.0321 3.8464 5.9520
angles (deg): 90.00 90.19 90.00
With the nearest neighbours (Å) after each atom.
Space group P2/m (No. 10)
Asymmetric unit:
Mn 0.0000 0.0000 0.0000  8 Hg 2.87-2.88, 2 Fe 2.98, 2 Mn 3.03
Fe 0.0000 0.0000 0.5000  8 Hg 2.85-2.86, 2 Mn 2.98, 2 Fe 3.03
Hg 0.4999 0.5000 0.2532  4 Fe 2.85-2.86, 4 Mn 2.87-2.88, 4 Hg 2.94-3.03